No. 1
Computed, not measured: a geometry-optimized Dy3P2Se structure at the GGA-PBE level of DFT.

Output
Its total moment is 0.000 μB/atom. The calculation puts the energy above the most stable polymorph in this dataset at 0.4 kJ per mole of atoms.

Cell lengths 6.988, 6.988, 6.988 Å; angles 146.57, 131.94, 59.81 degrees
Fractional positions:
Dy  0.000  0.000  0.000
Dy  0.323  0.323  0.000
Dy  0.677  0.677  0.000
P  0.164  0.664  0.500
P  0.836  0.336  0.500
Se  0.500  0.000  0.500

No. 2
Computed, not measured: a geometry-optimized Dy3P2Se structure at the GGA-PBE level of DFT.

Output
Its total moment is 0.001 μB/atom. The calculation puts the energy above the most stable polymorph in this dataset at 0.0 kJ per mole of atoms.

Cell lengths 4.020, 4.020, 9.940 Å; angles 90.00, 90.00, 120.00 degrees
Fractional positions:
Dy  0.000  0.000  0.000
Dy  0.333  0.667  0.686
Dy  0.667  0.333  0.314
P  0.333  0.667  0.164
P  0.667  0.333  0.836
Se  0.000  0.000  0.500

No. 3
Computed, not measured: a geometry-optimized DyPSe4 structure at the GGA-PBE level of DFT.

Output
As for the calculated total energy: -28.9 eV per formula unit. Its total moment is 0.000 μB/atom.

Cell lengths 12.872, 12.872, 12.872 Å; angles 127.81, 127.81, 76.94 degrees
Fractional positions:
Dy  0.125  0.375  0.750
Dy  0.125  0.875  0.250
Dy  0.375  0.125  0.250
Dy  0.375  0.625  0.750
Dy  0.625  0.375  0.250
Dy  0.625  0.875  0.750
Dy  0.875  0.125  0.750
Dy  0.875  0.625  0.250
P  0.211  0.250  0.461
P  0.250  0.289  0.039
P  0.250  0.789  0.539
P  0.289  0.750  0.039
P  0.711  0.250  0.961
P  0.750  0.211  0.461
P  0.750  0.711  0.961
P  0.789  0.750  0.539
Se  0.078  0.887  0.470
Se  0.083  0.393  0.970
Se  0.091  0.661  0.937
Se  0.107  0.417  0.530
Se  0.113  0.083  0.191
Se  0.153  0.091  0.929
Se  0.161  0.591  0.437
Se  0.224  0.153  0.563
Se  0.276  0.839  0.929
Se  0.339  0.776  0.429
Se  0.347  0.276  0.937
Se  0.387  0.578  0.970
Se  0.393  0.922  0.309
Se  0.409  0.347  0.571
Se  0.417  0.387  0.309
Se  0.422  0.893  0.809
Se  0.578  0.107  0.191
Se  0.583  0.613  0.691
Se  0.591  0.653  0.429
Se  0.607  0.078  0.691
Se  0.613  0.422  0.030
Se  0.653  0.724  0.063
Se  0.661  0.224  0.571
Se  0.724  0.161  0.071
Se  0.776  0.847  0.437
Se  0.839  0.409  0.563
Se  0.847  0.909  0.071
Se  0.887  0.917  0.809
Se  0.893  0.583  0.470
Se  0.909  0.339  0.063
Se  0.917  0.607  0.030
Se  0.922  0.113  0.530

No. 4
Computed, not measured: a geometry-optimized DyTe2PSe2 structure at the GGA-PBE level of DFT.

Output
As for the calculated total energy: -27.1 eV per formula unit. Its total moment is 0.000 μB/atom.

Cell lengths 7.101, 7.174, 8.352 Å; angles 86.94, 88.72, 77.11 degrees
Fractional positions:
Dy  0.202  0.216  0.065
Dy  0.798  0.784  0.935
Te  0.046  0.052  0.752
Te  0.499  0.849  0.227
Te  0.501  0.151  0.773
Te  0.954  0.948  0.248
P  0.231  0.674  0.192
P  0.769  0.326  0.808
Se  0.218  0.599  0.933
Se  0.264  0.407  0.343
Se  0.736  0.593  0.657
Se  0.782  0.401  0.067

No. 5
Computed, not measured: a geometry-optimized SmDy2P2 structure at the GGA-PBE level of DFT.

Output
As for the calculated total energy: -28.9 eV per formula unit. Its total moment is 0.001 μB/atom.

Cell lengths 6.970, 6.970, 6.970 Å; angles 144.36, 144.36, 51.29 degrees
Fractional positions:
Sm  0.000  0.000  0.000
Dy  0.250  0.750  0.500
Dy  0.750  0.250  0.500
P  0.401  0.401  0.000
P  0.599  0.599  0.000

No. 6
Computed, not measured: a geometry-optimized SmDy2P3 structure at the GGA-PBE level of DFT.

Output
As for the calculated total energy: -39.7 eV per formula unit. Its total moment is 0.001 μB/atom.

Cell lengths 4.040, 4.040, 9.889 Å; angles 90.00, 90.00, 120.00 degrees
Fractional positions:
Sm  0.000  0.000  0.000
Dy  0.333  0.667  0.336
Dy  0.667  0.333  0.664
P  0.000  0.000  0.500
P  0.333  0.667  0.828
P  0.667  0.333  0.172